{
  "formula": "AcPm12Er3",
  "functional": "PBE-GGA",
  "state": "relaxed",
  "cell": [[-0.511, -4.694, -2.064], [-0.644, -1.999, 4.705], [-20.328, 2.893, -1.552]],
  "species": ["Pm", "Pm", "Pm", "Pm", "Pm", "Ac", "Er", "Pm", "Pm", "Pm", "Pm", "Pm", "Er", "Er", "Pm", "Pm"],
  "frac_coords": [[0.500, 0.000, 0.377], [0.000, 0.500, 0.131], [0.000, 0.500, 0.377], [0.500, 0.000, 0.131], [0.500, 0.000, 0.623], [0.000, 0.000, 0.000], [0.000, 0.000, 0.254], [0.000, 0.500, 0.869], [0.500, 0.000, 0.869], [0.500, 0.500, 0.500], [0.000, 0.500, 0.623], [0.500, 0.500, 0.255], [0.000, 0.000, 0.500], [0.000, 0.000, 0.746], [0.500, 0.500, 0.745], [0.500, 0.500, 0.000]],
  "final_energy_ev_per_atom": -4.652,
  "magnetic_moment_mub_per_fu": 0.00,
  "ef_ev_per_atom": 0.023
}

{
  "formula": "Mo3AsW",
  "functional": "PBE-GGA",
  "state": "relaxed",
  "cell": [[4.531, 0.000, 0.000], [0.000, 4.531, 0.000], [0.000, 0.000, 4.531]],
  "species": ["Mo", "Mo", "W", "Mo", "As"],
  "frac_coords": [[0.500, 0.000, 0.000], [0.000, 0.500, 0.000], [0.500, 0.500, 0.500], [0.000, 0.000, 0.500], [0.000, 0.000, 0.000]],
  "de_polymorph_mev_per_atom": 0.0,
  "final_energy_ev_per_atom": -8.671,
  "magnetic_moment_mub_per_fu": 0.00,
  "ef_ev_per_atom": 1.348
}

{
  "formula": "Pr6YEr4",
  "functional": "PBE-GGA",
  "state": "relaxed",
  "cell": [[7.590, -3.158, -5.706], [-5.296, 8.216, 2.137], [-2.036, 3.158, 9.274]],
  "species": ["Pr", "Er", "Pr", "Y", "Pr", "Pr", "Pr", "Er", "Pr", "Er", "Er"],
  "frac_coords": [[0.643, 0.183, 0.183], [0.000, 0.643, 0.010], [0.500, 0.000, 0.500], [0.000, 0.000, 0.000], [0.500, 0.500, 0.000], [0.357, 0.540, 0.540], [0.000, 0.817, 0.460], [0.367, 0.357, 0.357], [0.000, 0.460, 0.817], [0.633, 0.990, 0.990], [0.000, 0.010, 0.643]],
  "final_energy_ev_per_atom": -4.570,
  "magnetic_moment_mub_per_fu": 0.00,
  "ef_ev_per_atom": 0.284
}

{
  "formula": "Pr2In3Ge",
  "functional": "PBE-GGA",
  "state": "relaxed",
  "cell": [[4.141, 0.000, 0.000], [0.000, 4.794, 0.000], [0.000, 0.000, 8.163]],
  "species": ["In", "Ge", "In", "In", "Pr", "Pr"],
  "frac_coords": [[0.500, 0.000, 0.832], [0.500, 0.500, 0.330], [0.500, 0.000, 0.173], [0.500, 0.500, 0.658], [0.000, 0.000, 0.487], [0.000, 0.500, 0.020]],
  "final_energy_ev_per_atom": -4.199,
  "magnetic_moment_mub_per_fu": 0.00,
  "ef_ev_per_atom": -0.467
}

{
  "formula": "Cu2W",
  "functional": "PBE-GGA",
  "state": "relaxed",
  "cell": [[-1.060, 0.862, -2.323], [-1.242, -1.929, 1.414], [-3.417, 4.590, 3.262]],
  "species": ["W", "Cu", "Cu"],
  "frac_coords": [[0.667, 0.333, 0.333], [0.000, 0.000, 0.990], [0.333, 0.667, 0.676]],
  "final_energy_ev_per_atom": -6.721,
  "magnetic_moment_mub_per_fu": 0.00,
  "ef_ev_per_atom": 0.327
}

{
  "formula": "YPu2N3",
  "functional": "PBE-GGA",
  "state": "relaxed",
  "cell": [[3.333, 0.000, -1.009], [-0.611, 4.457, -2.018], [0.005, 0.001, 6.025]],
  "species": ["Pu", "Y", "Pu", "N", "N", "N"],
  "frac_coords": [[0.834, 0.834, 0.169], [0.500, 0.500, 0.500], [0.166, 0.166, 0.831], [0.500, 0.000, 0.500], [0.172, 0.672, 0.844], [0.828, 0.328, 0.156]],
  "final_energy_ev_per_atom": -11.418,
  "magnetic_moment_mub_per_fu": 9.57
}

{
  "formula": "W2SeCl",
  "functional": "PBE-GGA",
  "state": "relaxed",
  "cell": [[8.447, -0.009, -0.005], [7.917, 2.943, -0.005], [7.917, 1.420, 2.578]],
  "species": ["Cl", "Se", "W", "W"],
  "frac_coords": [[0.250, 0.250, 0.250], [0.750, 0.750, 0.750], [0.003, 0.003, 0.003], [0.497, 0.497, 0.497]],
  "de_polymorph_mev_per_atom": 678.2,
  "final_energy_ev_per_atom": -7.162,
  "magnetic_moment_mub_per_fu": 0.00
}

{
  "formula": "Y2Be3Cu17",
  "functional": "PBE-GGA",
  "state": "relaxed",
  "cell": [[6.683, -0.013, 0.702], [0.631, 6.653, 0.702], [-0.014, -0.013, 6.720]],
  "species": ["Cu", "Cu", "Cu", "Cu", "Cu", "Y", "Cu", "Cu", "Cu", "Cu", "Cu", "Cu", "Cu", "Be", "Cu", "Be", "Cu", "Cu", "Cu", "Cu", "Y", "Be"],
  "frac_coords": [[0.335, 0.335, 0.832], [0.097, 0.097, 0.097], [0.270, 0.000, 0.730], [0.270, 0.730, 0.000], [0.000, 0.000, 0.500], [0.669, 0.669, 0.669], [0.335, 0.832, 0.335], [0.500, 0.000, 0.000], [0.903, 0.903, 0.903], [0.832, 0.335, 0.335], [0.665, 0.665, 0.168], [0.000, 0.730, 0.270], [0.000, 0.270, 0.730], [0.000, 0.500, 0.500], [0.168, 0.665, 0.665], [0.500, 0.500, 0.000], [0.665, 0.168, 0.665], [0.730, 0.000, 0.270], [0.730, 0.270, 0.000], [0.000, 0.500, 0.000], [0.331, 0.331, 0.331], [0.500, 0.000, 0.500]],
  "final_energy_ev_per_atom": -4.164,
  "magnetic_moment_mub_per_fu": 0.00,
  "ef_ev_per_atom": 0.097
}

{
  "formula": "Li2SiPt4",
  "functional": "PBE-GGA",
  "state": "relaxed",
  "cell": [[-3.750, -3.184, -1.032], [4.128, -2.612, 1.183], [-1.313, 2.927, 3.869]],
  "species": ["Pt", "Pt", "Si", "Pt", "Li", "Pt", "Li"],
  "frac_coords": [[0.000, 0.000, 0.500], [0.000, 0.500, 0.000], [0.000, 0.000, 0.000], [0.500, 0.000, 0.000], [0.500, 0.500, 0.000], [0.500, 0.500, 0.500], [0.500, 0.000, 0.500]],
  "final_energy_ev_per_atom": -5.342,
  "magnetic_moment_mub_per_fu": 0.00
}

{
  "formula": "VZnAgI2",
  "functional": "PBE-GGA",
  "state": "relaxed",
  "cell": [[5.631, 0.000, 0.000], [0.000, 4.904, 0.000], [0.000, 0.000, 5.631]],
  "species": ["I", "I", "V", "Zn", "Ag"],
  "frac_coords": [[0.000, 0.000, 0.500], [0.500, 0.000, 0.000], [0.500, 0.500, 0.500], [0.000, 0.000, 0.000], [0.000, 0.500, 0.000]],
  "final_energy_ev_per_atom": -2.525,
  "magnetic_moment_mub_per_fu": 3.98
}

{
  "formula": "Ca2CdIr",
  "functional": "PBE-GGA",
  "state": "relaxed",
  "cell": [[-1.478, 4.425, 1.477], [-0.370, -1.655, 4.590], [3.673, 1.007, 0.659]],
  "species": ["Ca", "Ca", "Cd", "Ir"],
  "frac_coords": [[0.500, 0.500, 0.000], [0.000, 0.000, 0.000], [0.500, 0.000, 0.500], [0.000, 0.500, 0.500]],
  "final_energy_ev_per_atom": -3.643,
  "magnetic_moment_mub_per_fu": 0.00,
  "ef_ev_per_atom": -0.198
}

{
  "formula": "Ho2ErTm6",
  "functional": "PBE-GGA",
  "state": "relaxed",
  "cell": [[-1.266, -3.251, -0.187], [-4.253, 2.083, -7.107], [10.763, -6.188, 2.013]],
  "species": ["Tm", "Er", "Tm", "Tm", "Tm", "Tm", "Ho", "Tm", "Ho"],
  "frac_coords": [[0.333, 0.334, 0.334], [0.000, 0.000, 0.000], [0.778, 0.112, 0.445], [0.888, 0.556, 0.223], [0.667, 0.666, 0.666], [0.222, 0.888, 0.555], [0.445, 0.778, 0.111], [0.112, 0.444, 0.777], [0.555, 0.222, 0.889]],
  "final_energy_ev_per_atom": -4.481,
  "magnetic_moment_mub_per_fu": 0.00,
  "ef_ev_per_atom": 0.025
}